Entry from the Alexandria database: an optimized crystal structure of NaCeV4O12 (PBE+U).

a = 7.3190 Å, b = 6.8824 Å, c = 9.9373 Å
α = 90.00°, β = 90.00°, γ = 90.00°
Space group Amm2 (No. 38)
One atom of each set of equivalent atoms:
Na: 0.0000 0.0000 0.0000 x2
Ce: 0.5000 0.0000 0.5554 x2
V: 0.2478 0.2422 0.2692 x8
O: 0.0000 0.2251 0.7907 x4
O: 0.2123 0.0000 0.1951 x4
O: 0.2518 0.0000 0.6956 x4
O: 0.3030 0.2267 0.4330 x8
O: 0.5000 0.2425 0.2000 x4

Computed properties:
DOS at the Fermi energy = 5.85 states/eV per cell
spin magnetization = 2.186 μB/cell
raw total energy = -7.443 eV/atom